(1)
# LaTm2Ge, optimized geometry, DFT PBE
# Uncorrected energy: -4.85 eV per atom
# Formation energy: -0.232 eV per atom
# N(E_F): 1.29 states/eV/atom
data_LaTm2Ge
_chemical_formula_sum 'La3 Tm6 Ge3'
_symmetry_space_group_name_H-M 'R 3 m'
_symmetry_Int_Tables_number 160
_symmetry_space_group_name_Hall 'R 3 -2"'
_cell_length_a 3.9831
_cell_length_b 3.9831
_cell_length_c 27.6164
_cell_angle_alpha 90.00
_cell_angle_beta 90.00
_cell_angle_gamma 120.00
loop_
_atom_site_label
_atom_site_fract_x
_atom_site_fract_y
_atom_site_fract_z
La1 0.0000 0.0000 0.0000
Tm1 0.0000 0.0000 0.2282
Tm2 0.0000 0.0000 0.4459
Ge1 0.0000 0.0000 0.8379

(2)
# La5Tm2Ge4, optimized geometry, DFT PBE
# Uncorrected energy: -5.07 eV per atom
# Formation energy: -0.341 eV per atom
# N(E_F): 1.07 states/eV/atom
data_La5Tm2Ge4
_chemical_formula_sum 'La10 Tm4 Ge8'
_symmetry_space_group_name_H-M 'C 1 2/m 1'
_symmetry_Int_Tables_number 12
_symmetry_space_group_name_Hall '-C 2y'
_cell_length_a 25.8081
_cell_length_b 3.9808
_cell_length_c 6.7482
_cell_angle_alpha 90.00
_cell_angle_beta 91.24
_cell_angle_gamma 90.00
loop_
_atom_site_label
_atom_site_fract_x
_atom_site_fract_y
_atom_site_fract_z
La1 0.0000 0.0000 0.0000
La2 0.0949 0.5000 0.7046
La3 0.1386 0.5000 0.2027
Tm1 0.2352 0.5000 0.7358
Ge1 0.0249 0.5000 0.3410
Ge2 0.1761 0.0000 0.5168

(3)
# La2Tm3Ge4, optimized geometry, DFT PBE
# Uncorrected energy: -5.52 eV per atom
# Formation energy: -0.886 eV per atom
# N(E_F): 0.70 states/eV/atom
data_La2Tm3Ge4
_chemical_formula_sum 'La4 Tm6 Ge8'
_symmetry_space_group_name_H-M 'P 1 21/c 1'
_symmetry_Int_Tables_number 14
_symmetry_space_group_name_Hall '-P 2ybc'
_cell_length_a 7.9249
_cell_length_b 7.9073
_cell_length_c 7.6973
_cell_angle_alpha 90.00
_cell_angle_beta 110.43
_cell_angle_gamma 90.00
loop_
_atom_site_label
_atom_site_fract_x
_atom_site_fract_y
_atom_site_fract_z
La1 0.1934 0.1778 0.0669
Tm1 0.2468 0.6650 0.2442
Tm2 0.5000 0.0000 0.5000
Ge1 0.0862 0.5423 0.8479
Ge2 0.4949 0.1325 0.8649

(4)
# La2Tm2Ge3, optimized geometry, DFT PBE
# Uncorrected energy: -5.27 eV per atom
# Formation energy: -0.609 eV per atom
# N(E_F): 0.91 states/eV/atom
data_La2Tm2Ge3
_chemical_formula_sum 'La2 Tm2 Ge3'
_symmetry_space_group_name_H-M 'P -1'
_symmetry_Int_Tables_number 2
_symmetry_space_group_name_Hall '-P 1'
_cell_length_a 4.4437
_cell_length_b 5.9275
_cell_length_c 7.8170
_cell_angle_alpha 91.22
_cell_angle_beta 106.22
_cell_angle_gamma 92.77
loop_
_atom_site_label
_atom_site_fract_x
_atom_site_fract_y
_atom_site_fract_z
La1 0.1377 0.1236 0.2794
Tm1 0.4200 0.3897 0.7870
Ge1 0.1957 0.6625 0.4622
Ge2 0.5000 0.0000 0.0000